No. 1
First-principles (PBE) data for a relaxed structure of HgPbSe2, as listed in Alexandria via LeMat-Bulk.

Structure (POSCAR):
```
HgPbSe2
1.0
-3.066 -1.659 7.525
1.672 -1.430 7.996
-0.903 2.578 7.831
Pb Hg Se
1 1 2
direct
0.500 0.500 0.500 Pb
0.000 0.000 0.000 Hg
0.895 0.895 0.895 Se
0.105 0.105 0.105 Se
```

Properties
polymorph energy (0 for the lowest one): 0.000 eV per atom
formation energy (no corrections): -301.1 meV per atom
DFT total energy: -0.1119 Ha/atom
space group: R-3m

No. 2
First-principles (PBE) data for a relaxed structure of LiTaBe, as listed in Alexandria via LeMat-Bulk.

Structure (POSCAR):
```
LiTaBe
1.0
2.844 -1.642 0.000
0.000 3.284 0.000
0.000 0.000 9.806
Be Li Ta
2 2 2
direct
0.000 0.000 0.250 Be
0.000 0.000 0.750 Be
0.333 0.667 0.250 Li
0.667 0.333 0.750 Li
0.000 0.000 0.000 Ta
0.000 0.000 0.500 Ta
```

Properties
polymorph energy (0 for the lowest one): 1.274 eV per atom
E_form: 1403 meV per atom
DFT total energy: -0.1627 Ha/atom
space group: P6_3/mmc

No. 3
First-principles (PBE) data for a relaxed structure of TbHo2Mg, as listed in Alexandria via LeMat-Bulk.

Structure (POSCAR):
```
TbHo2Mg
1.0
-2.093 4.933 1.165
-5.194 0.442 1.701
-1.075 1.363 5.202
Mg Tb Ho
1 1 2
direct
0.500 0.500 0.500 Mg
0.000 0.000 0.000 Tb
0.250 0.250 0.250 Ho
0.750 0.750 0.750 Ho
```

Properties
polymorph energy (0 for the lowest one): 0.097 eV per atom
E_form: 68 meV per atom
DFT total energy: -0.1388 Ha/atom
space group: Fm-3m

No. 4
First-principles (PBE) data for a relaxed structure of Fe9Co4Pt11, as listed in Alexandria via LeMat-Bulk.

Structure (POSCAR):
```
Fe9Co4Pt11
1.0
3.772 0.000 0.000
0.000 9.071 -3.779
0.000 0.090 9.826
Fe Co Pt
9 4 11
direct
0.500 0.625 0.133 Fe
0.500 0.375 0.867 Fe
0.500 0.133 0.625 Fe
0.500 0.867 0.375 Fe
0.500 0.792 0.957 Fe
0.500 0.208 0.043 Fe
0.500 0.957 0.792 Fe
0.500 0.043 0.208 Fe
0.500 0.500 0.500 Fe
0.500 0.554 0.745 Co
0.500 0.446 0.255 Co
0.500 0.745 0.554 Co
0.500 0.255 0.446 Co
0.000 0.585 0.921 Pt
0.000 0.415 0.079 Pt
0.000 0.921 0.585 Pt
0.000 0.079 0.415 Pt
0.000 0.652 0.348 Pt
0.000 0.348 0.652 Pt
0.000 0.830 0.170 Pt
0.000 0.170 0.830 Pt
0.000 0.000 0.000 Pt
0.000 0.739 0.739 Pt
0.000 0.261 0.261 Pt
```

Properties
E_form: -81 meV per atom
DFT total energy: -0.2649 Ha/atom
space group: Cmmm